Li3V6O13: optimized geometry, PBE+U.

Properties
Total energy   -158.70 eV for the cell shown
Size of the total moment   7.00 Bohr magnetons per cell
Crystal system   monoclinic

Unit cell a=6.337 b=6.337 c=10.298 alpha=100.11 beta=100.11 gamma=37.07
Fractional positions:
Li1 0.000 0.000 0.000
Li2 0.066 0.066 0.414
Li3 0.138 0.138 0.825
V1 0.350 0.350 0.049
V2 0.405 0.405 0.414
V3 0.471 0.471 0.778
V4 0.667 0.667 0.046
V5 0.724 0.724 0.411
V6 0.789 0.789 0.778
O1 0.180 0.180 0.021
O2 0.240 0.240 0.413
O3 0.310 0.310 0.817
O4 0.388 0.388 0.215
O5 0.451 0.451 0.610
O6 0.500 0.500 0.994
O7 0.572 0.572 0.413
O8 0.638 0.638 0.831
O9 0.688 0.688 0.214
O10 0.751 0.751 0.612
O11 0.828 0.828 0.009
O12 0.883 0.883 0.413
O13 0.958 0.958 0.803